(1)
A plane-wave DFT calculation with GGA-PBE was carried out for Sr4ZrSc after structural relaxation.

abc: 7.0281 7.0281 7.0281
angles: 60.00 60.00 60.00
Closest atoms and distances in Å follow each position.
Fractional coordinates of all 6 atoms:
Sr  0.1244  0.1244  0.1244  6 Sr 3.50-3.53
Sr  0.1244  0.1244  0.6269  6 Sr 3.50-3.53
Sr  0.1244  0.6269  0.1244  6 Sr 3.50-3.53
Sr  0.6269  0.1244  0.1244  6 Sr 3.50-3.53
Zr  0.7500  0.7500  0.7500  12 Sr 4.12, 4 Sc 4.30
Sc  0.5000  0.5000  0.5000  12 Sr 4.12, 4 Zr 4.30

## Properties
energy of formation from the pure elements: 0.821 eV/atom
space-group type: F-43m (216)

(2)
A plane-wave DFT calculation with GGA-PBE was carried out for TiCrGaCu after structural relaxation.

abc: 4.3439 4.3439 4.3439
angles: 60.00 60.00 60.00
Closest atoms and distances in Å follow each position.
Fractional coordinates of all 4 atoms:
Ti  0.0000  0.0000  0.0000  4 Ga 2.66, 4 Cu 2.66
Cr  0.5000  0.5000  0.5000  4 Ga 2.66, 4 Cu 2.66
Ga  0.7500  0.7500  0.7500  4 Cr 2.66, 4 Ti 2.66
Cu  0.2500  0.2500  0.2500  4 Cr 2.66, 4 Ti 2.66

## Properties
energy of formation from the pure elements: -0.052 eV/atom
space-group type: F-43m (216)

(3)
A plane-wave DFT calculation with GGA-PBE was carried out for BaAl2Ir after structural relaxation.

abc: 4.2979 4.2979 4.9188
angles: 90.00 90.00 90.00
Closest atoms and distances in Å follow each position.
Fractional coordinates of all 4 atoms:
Ba  0.0000  0.0000  0.0000  4 Ir 3.04, 8 Al 3.27
Al  0.0000  0.5000  0.5000  4 Al 3.04, 4 Ba 3.27, 4 Ir 3.27
Al  0.5000  0.0000  0.5000  4 Al 3.04, 4 Ba 3.27, 4 Ir 3.27
Ir  0.5000  0.5000  0.0000  4 Ba 3.04, 8 Al 3.27

## Properties
energy of formation from the pure elements: 0.367 eV/atom
space-group type: P4/mmm (123)

(4)
A plane-wave DFT calculation with GGA-PBE was carried out for Te2IrSe after structural relaxation.

abc: 4.9175 4.9175 4.9175
angles: 111.14 111.14 106.19
Closest atoms and distances in Å follow each position.
Fractional coordinates of all 4 atoms:
Te  0.0000  0.5000  0.5000  2 Se 2.78, 2 Ir 2.78, 2 Te 2.95
Te  0.5000  0.0000  0.5000  2 Se 2.78, 2 Ir 2.78, 2 Te 2.95
Ir  0.0000  0.0000  0.0000  4 Te 2.78, 2 Se 2.95
Se  0.5000  0.5000  0.0000  4 Te 2.78, 2 Ir 2.95

## Properties
ΔE_f (raw): 0.2926 eV per atom
space-group type: I4/mmm (139)